[1]
# Si3Ru2 PBE-GGA optimized geometry
# Density of states at the Fermi level   1.141 states/eV per atom
# Crystal system   trigonal
# VASP energy   -7.2658 eV per atom
# Formation energy (no corrections)   -1.508 eV/f.u.
data_Si3Ru2
_chemical_formula_sum 'Si9 Ru6'
_cell_length_a 2.9049
_cell_length_b 2.9049
_cell_length_c 28.0145
_cell_angle_alpha 90.00
_cell_angle_beta 90.00
_cell_angle_gamma 120.00
_symmetry_space_group_name_H-M 'R -3 m'
_symmetry_Int_Tables_number 166
_symmetry_space_group_name_Hall '-R 3 2"'
loop_
_atom_site_label
_atom_site_fract_x
_atom_site_fract_y
_atom_site_fract_z
Si1 0.0000 0.0000 0.0000
Si2 0.0000 0.0000 0.2025
Ru1 0.0000 0.0000 0.4008

***

[2]
# Li2AcHgN PBE-GGA optimized geometry
# Density of states at the Fermi level   0.467 states/eV per atom
# Crystal system   tetragonal
# VASP energy   -3.6719 eV per atom
# Formation energy (no corrections)   -1.796 eV/f.u.
data_Li2AcHgN
_chemical_formula_sum 'Li2 Ac1 Hg1 N1'
_cell_length_a 4.622
_cell_length_b 4.622
_cell_length_c 5.083
_cell_angle_alpha 90.00
_cell_angle_beta 90.00
_cell_angle_gamma 90.00
_symmetry_space_group_name_H-M 'P 4 m m'
_symmetry_Int_Tables_number 99
loop_
_symmetry_equiv_pos_as_xyz
'x,y,z'
'-y,x,z'
'-x,-y,z'
'y,-x,z'
'-x,y,z'
'y,x,z'
'x,-y,z'
'-y,-x,z'
loop_
_atom_site_label
_atom_site_fract_x
_atom_site_fract_y
_atom_site_fract_z
Li1 0.000 0.500 0.000
Ac1 0.000 0.000 0.503
Hg1 0.500 0.500 0.594
N1 0.000 0.000 0.008

***

Question: Which value of density of states at the Fermi level does entry 1 give?
Answer: 1.141 states/eV per atom